Material: Er2SnPb
Method: DFT, PBE
State: relaxed

## Properties
As for the space group: R3m. Its energy relative to the lowest polymorph listed for this composition is 144 meV/atom.

Geometry as extended XYZ:
```
4
Lattice="4.7379 0.0000 0.0000 2.3690 4.1032 0.0000 2.3690 1.3677 6.4054" Properties=species:S:1:pos:R:3 pbc="T T T"
Pb 4.7379 2.7354 3.2086
Er 2.3690 1.3677 1.4300
Er 2.3690 1.3677 4.9367
Sn 4.7379 2.7354 0.0327
```

Material: Er2SnPb
Method: DFT, PBE
State: relaxed

## Properties
As for the space group: P4/mmm. Its energy relative to the lowest polymorph listed for this composition is 74 meV/atom.

Geometry as extended XYZ:
```
4
Lattice="-1.9778 0.7777 -3.7882 -4.4084 -1.0125 2.0937 -0.5082 4.7980 1.2503" Properties=species:S:1:pos:R:3 pbc="T T T"
Sn -3.4472 2.2816 -0.2221
Er -0.2541 2.3990 0.6251
Er -2.2042 -0.5062 1.0469
Pb -0.9889 0.3888 -1.8941
```

Material: ErSn2Pb
Method: DFT, PBE
State: relaxed

## Properties
As for the space group: R-3m. Its energy relative to the lowest polymorph listed for this composition is 166 meV/atom.

Geometry as extended XYZ:
```
4
Lattice="5.4502 0.0000 0.0000 2.7251 4.7200 0.0000 2.7251 1.5733 4.4406" Properties=species:S:1:pos:R:3 pbc="T T T"
Er 5.4502 3.1467 2.2203
Sn 8.1754 4.7200 3.3324
Sn 2.7251 1.5733 1.1082
Pb 0.0000 0.0000 0.0000
```

Material: Er8SnPb2
Method: DFT, PBE
State: relaxed

## Properties
As for the space group: C2/m.

Geometry as extended XYZ:
```
11
Lattice="-0.6892 -3.2125 -3.8184 6.7166 -0.0868 -1.1393 -0.8599 -5.7055 8.2781" Properties=species:S:1:pos:R:3 pbc="T T T"
Pb 0.4253 -6.2896 1.8920
Pb 4.7421 -2.7152 1.4284
Er 0.1087 -8.6314 3.9193
Er 2.5221 -6.0342 4.6215
Er 3.4238 -5.8139 0.9505
Er 2.6454 -2.9706 -1.3011
Er -0.6257 -3.9048 0.0753
Er 5.0588 -0.3734 -0.5989
Er 5.7932 -5.1000 3.2451
Er 1.7436 -3.1909 2.3698
Sn -0.3446 -1.6063 -1.9092
```

Material: ErSn2Pb
Method: DFT, PBE
State: relaxed

## Properties
As for the space group: P4/mmm. Its energy relative to the lowest polymorph listed for this composition is 0 meV/atom.

Geometry as extended XYZ:
```
4
Lattice="-2.5572 3.3079 2.1887 -3.6582 -0.8764 -2.9495 -1.6609 -3.2948 3.0390" Properties=species:S:1:pos:R:3 pbc="T T T"
Er -3.9382 -0.4316 1.1391
Sn -1.8291 -0.4382 -1.4748
Sn -0.8305 -1.6474 1.5195
Pb -1.2786 1.6540 1.0944
```

Material: Er5Sn2Pb2
Method: DFT, PBE
State: relaxed

## Properties
As for the space group: Cmce.

Geometry as extended XYZ:
```
18
Lattice="-3.6375 -4.4359 -5.7663 1.9859 -6.7925 3.9725 -8.4792 -1.8662 1.0478" Properties=species:S:1:pos:R:3 pbc="T T T"
Sn 0.2323 -3.0753 0.6688
Sn -1.8839 -8.1530 -2.4625
Sn -2.0412 -3.7377 -3.1241
Sn 0.3897 -7.4906 1.3304
Er -2.5682 -8.5274 0.5100
Er -9.0525 -7.9094 -3.4815
Er -7.5625 -4.5672 -1.2559
Er -1.0782 -5.1852 2.7356
Er -5.9767 -7.2405 1.6701
Er -2.6640 -2.5119 -0.1904
Er -4.1540 -5.8541 -2.4161
Er -0.8258 -5.6142 -0.8969
Er 0.0000 0.0000 0.0000
Er -7.4668 -10.5827 -0.5555
Pb -6.5403 -7.6264 -1.4807
Pb -6.4021 -4.2899 -4.1346
Pb -3.5904 -5.4682 0.7348
Pb -5.7145 -2.0122 -0.5838
```

Material: Er8SnPb5
Method: DFT, PBE
State: relaxed

## Properties
As for the space group: I-4.

Geometry as extended XYZ:
```
14
Lattice="7.6101 0.0000 -2.6464 -3.7830 6.5793 -2.7053 -0.0441 0.0000 8.0570" Properties=species:S:1:pos:R:3 pbc="T T T"
Er -1.8923 4.9266 1.8205
Er 1.3421 5.8502 2.9950
Er 1.0538 1.6555 1.6499
Er 3.2123 2.5816 4.3290
Er 7.0510 0.7290 3.0071
Er -1.8810 4.9238 -2.2414
Er 1.3520 3.9977 -1.0649
Er 4.8940 1.6527 0.3260
Sn -0.0221 3.2896 4.0285
Pb 3.7830 0.0000 2.7053
Pb 6.1744 2.4649 -2.6571
Pb 3.3483 5.7528 -2.6638
Pb 2.3887 0.8264 -1.3220
Pb 3.3087 4.1144 1.3501
```

Material: Er2SnPb
Method: DFT, PBE
State: relaxed

## Properties
As for the space group: R-3m. Its energy relative to the lowest polymorph listed for this composition is 139 meV/atom.

Geometry as extended XYZ:
```
4
Lattice="-1.8484 -2.7752 -1.8973 -0.4429 -3.4553 1.6069 -8.5446 0.6148 3.5466" Properties=species:S:1:pos:R:3 pbc="T T T"
Pb 0.0000 0.0000 0.0000
Er -8.0766 -4.2292 2.4187
Er -2.7592 -1.3865 0.8376
Sn -5.4179 -2.8079 1.6281
```

Material: Er7SnPb5
Method: DFT, PBE
State: relaxed

## Properties
As for the space group: Imm2.

Geometry as extended XYZ:
```
13
Lattice="-4.7409 4.1452 -0.1514 -5.1849 -1.3805 -6.4896 -6.4267 -2.3852 4.8901" Properties=species:S:1:pos:R:3 pbc="T T T"
Pb -12.0803 0.4965 -1.2744
Pb -10.6070 -0.3297 -4.1858
Pb -11.2489 -0.8490 1.6968
Pb -8.8900 -2.9115 1.7721
Pb -8.2481 -2.3921 -4.1105
Er -5.4895 -1.5893 -2.6665
Er -5.9020 -1.9230 1.1133
Er -7.5539 0.7616 -4.7064
Er -8.3992 0.0777 3.0397
Er -7.3328 1.1608 -0.6977
Er -3.9174 0.2915 -0.4017
Er -10.0998 -2.0251 -1.2809
Sn -5.2167 3.5973 -0.2517
```

Material: Er3SnPb3
Method: DFT, PBE
State: relaxed

## Properties
As for the space group: P6_3/m.

Geometry as extended XYZ:
```
14
Lattice="-3.8845 -0.4090 4.1685 6.5103 0.0750 6.0741 -3.6792 7.6537 -2.6775" Properties=species:S:1:pos:R:3 pbc="T T T"
Pb -2.5303 1.6550 3.6759
Pb 4.4569 1.5193 6.2595
Pb 0.4942 0.3129 2.4484
Pb -5.5104 5.8003 1.3056
Pb 1.4769 5.6647 3.8892
Pb -1.5476 7.0068 5.1167
Er 1.6687 2.5285 7.6745
Er -0.2995 0.4303 5.6345
Er -2.7221 4.7911 -0.1094
Er -0.7679 3.9246 5.5409
Er -0.7539 6.8894 1.9306
Er -0.2855 3.3951 2.0242
Sn 2.1427 2.4990 4.1990
Sn -3.1961 4.8207 3.3661
```

Material: Er2Sn4Pb
Method: DFT, PBE
State: relaxed

## Properties
As for the space group: C2/m.

Geometry as extended XYZ:
```
7
Lattice="5.7246 0.0017 -3.2856 -1.9183 5.3936 -3.2856 -0.0454 -0.0643 6.5641" Properties=species:S:1:pos:R:3 pbc="T T T"
Sn 0.1253 4.2331 -3.0516
Sn 1.0842 1.5368 -1.4097
Sn 3.9460 1.5377 -3.0516
Sn 2.9879 4.2353 -4.6943
Er 3.9232 1.5059 0.2310
Er 0.1029 4.2010 0.2310
Pb 2.9651 4.2030 -1.4116
```

Material: ErSn2Pb2
Method: DFT, PBE
State: relaxed

## Properties
As for the space group: Cmcm.

Geometry as extended XYZ:
```
10
Lattice="-0.7152 -4.1726 1.7084 0.6855 -1.8040 -4.1189 13.6556 0.9219 1.8691" Properties=species:S:1:pos:R:3 pbc="T T T"
Pb 1.3670 -2.6733 0.1426
Pb 11.5685 -3.5665 2.2317
Pb 2.0574 -1.4881 -2.7731
Pb 12.2590 -2.3814 -0.6839
Sn 9.5270 -4.2597 -0.3160
Sn 4.0989 -0.7949 -0.2254
Sn 6.4543 -3.1187 1.1844
Sn 7.1716 -1.9359 -1.7258
Er 4.4517 -3.8153 -1.3553
Er 9.1743 -1.2393 0.8140
```

The records above give, respectively, energy values of -4.62 -4.69 -4.23 -4.62 -4.40 -4.87 -4.76 -4.63 -4.45 -4.41 -4.43 -4.27 eV per atom.
The records above give, respectively, energy relative to the elements values of -0.411 -0.481 -0.162 -0.264 -0.327 -0.625 -0.539 -0.416 -0.263 -0.291 -0.312 -0.271 eV/atom.